K2Be2NiO4 | the Alexandria database | PBE+U | optimized geometry; mass density = 3389 kg/m3; DOS at the Fermi energy = 0.00 states/eV/atom; total DFT energy (no corrections) = -5.369 eV/atom; calculated volume = 11.9 Å³ per atom
1.0
6.763 -1.447 0.000
6.763 1.447 0.000
-1.397 0.000 5.480
K Be Ni O
2 2 1 4
Direct
0.128 0.128 0.025
0.872 0.872 0.975
0.312 0.312 0.481
0.688 0.688 0.519
0.000 0.000 0.500
0.227 0.227 0.664
0.433 0.433 0.627
0.567 0.567 0.373
0.773 0.773 0.336